Entry 1:
The following is a PBE calculation of a relaxed FeSi2Br crystal, from Alexandria via LeMat-Bulk.

Values from the calculation:
energy relative to the elements, uncorrected	0.77	eV/atom
E above lowest polymorph	0.559	eV/atom
symmetry	No. 123

```
FeSi2Br
1.0
4.829 0.000 0.000
0.000 4.829 0.000
0.000 0.000 2.852
Br Fe Si
1 1 2
direct
0.500 0.000 0.500 Br
0.000 0.500 0.500 Fe
0.500 0.500 0.000 Si
0.000 0.000 0.000 Si
```

***

Entry 2:
The following is a PBE calculation of a relaxed FeSiBr2 crystal, from Alexandria via LeMat-Bulk.

Values from the calculation:
energy relative to the elements, uncorrected	-0.03	eV/atom
E above lowest polymorph	0.034	eV/atom
symmetry	No. 160

```
FeSiBr2
1.0
8.958 -0.014 -0.008
8.322 3.315 -0.008
8.322 1.590 2.909
Br Si Fe
2 1 1
direct
0.215 0.215 0.215 Br
0.029 0.029 0.029 Br
0.768 0.768 0.768 Si
0.488 0.488 0.488 Fe
```

***

Entry 3:
The following is a PBE calculation of a relaxed FeSiBr crystal, from Alexandria via LeMat-Bulk.

Values from the calculation:
energy relative to the elements, uncorrected	0.59	eV/atom
E above lowest polymorph	0.322	eV/atom
symmetry	No. 216

```
FeSiBr
1.0
-0.086 -2.733 -3.055
3.500 -1.254 -1.728
1.343 -3.822 0.630
Fe Br Si
1 1 1
direct
0.750 0.750 0.750 Fe
0.500 0.500 0.500 Br
0.000 0.000 0.000 Si
```

***

Entry 4:
The following is a PBE calculation of a relaxed FeSi2Br crystal, from Alexandria via LeMat-Bulk.

Values from the calculation:
energy relative to the elements, uncorrected	0.22	eV/atom
E above lowest polymorph	0.012	eV/atom
symmetry	No. 8

```
FeSi2Br
1.0
-1.490 2.578 -2.733
-0.211 -0.238 -4.029
-6.627 -1.758 -2.720
Si Br Fe
2 1 1
direct
0.981 0.981 0.023 Si
0.758 0.758 0.874 Si
0.553 0.553 0.442 Br
0.208 0.208 0.160 Fe
```

***

Entry 5:
The following is a PBE calculation of a relaxed FeSiBr2 crystal, from Alexandria via LeMat-Bulk.

Values from the calculation:
energy relative to the elements, uncorrected	0.69	eV/atom
E above lowest polymorph	0.749	eV/atom
symmetry	No. 119

```
FeSiBr2
1.0
7.015 0.018 0.000
4.930 4.991 0.000
-5.972 -2.504 2.696
Fe Br Si
1 2 1
direct
0.500 0.500 0.000 Fe
0.000 0.000 0.000 Br
0.250 0.750 0.500 Br
0.750 0.250 0.500 Si
```

***

Entry 6:
The following is a PBE calculation of a relaxed FeSiBr2 crystal, from Alexandria via LeMat-Bulk.

Values from the calculation:
energy relative to the elements, uncorrected	0.52	eV/atom
E above lowest polymorph	0.579	eV/atom
symmetry	No. 10

```
FeSiBr2
1.0
4.150 0.000 0.000
0.000 3.354 -0.701
0.000 -2.229 6.768
Br Si Fe
2 1 1
direct
0.000 0.779 0.017 Br
0.000 0.721 0.483 Br
0.500 0.750 0.750 Si
0.500 0.250 0.250 Fe
```

***

Entry 7:
The following is a PBE calculation of a relaxed FeSi2Br crystal, from Alexandria via LeMat-Bulk.

Values from the calculation:
energy relative to the elements, uncorrected	0.21	eV/atom
E above lowest polymorph	0.000	eV/atom
symmetry	No. 6

```
FeSi2Br
1.0
-2.530 2.598 0.067
-0.951 -1.013 3.395
3.874 3.718 2.126
Si Br Fe
2 1 1
direct
0.000 0.769 0.071 Si
0.500 0.253 0.055 Si
0.000 0.732 0.539 Br
0.500 0.746 0.834 Fe
```

***

Entry 8:
The following is a PBE calculation of a relaxed TaFe2SiBr crystal, from Alexandria via LeMat-Bulk.

Values from the calculation:
energy relative to the elements, uncorrected	1.51	eV/atom
symmetry	No. 123

```
TaFe2SiBr
1.0
4.736 0.000 0.000
0.000 4.925 0.000
0.000 0.000 4.736
Br Fe Ta Si
1 2 1 1
direct
0.000 0.500 0.000 Br
0.500 0.000 0.000 Fe
0.000 0.000 0.500 Fe
0.000 0.000 0.000 Ta
0.500 0.500 0.500 Si
```